SrLi2Pd SCAN PBEsol geometry; energy of formation from the pure elements = -0.1732 eV/atom
1.0
-3.843 0.706 -1.707
0.064 -3.887 -1.752
-2.486 -2.214 10.009
Sr Pd Li
2 2 4
Direct
0.750 0.250 0.500 Sr
0.500 0.500 0.000 Sr
0.250 0.750 0.500 Pd
0.000 0.000 0.000 Pd
0.290 0.875 0.250 Li
0.960 0.375 0.250 Li
0.125 0.040 0.750 Li
0.625 0.710 0.750 Li

Ag3BW SCAN PBEsol geometry; energy of formation from the pure elements = 2.7060 eV/atom
1.0
4.987 0.000 0.000
0.000 4.987 0.000
0.000 0.000 4.987
B Ag W
1 3 1
Direct
0.500 0.500 0.500 B
0.000 0.500 0.000 Ag
0.000 0.000 0.500 Ag
0.500 0.000 0.000 Ag
0.000 0.000 0.000 W

SmMgCu4 SCAN PBEsol geometry; energy of formation from the pure elements = -0.2434 eV/atom
1.0
5.054 0.021 0.015
2.509 4.387 0.015
2.509 1.462 4.136
Mg Cu Sm
1 4 1
Direct
0.999 0.999 0.999 Mg
0.373 0.373 0.373 Cu
0.373 0.879 0.373 Cu
0.879 0.373 0.373 Cu
0.373 0.373 0.879 Cu
0.749 0.749 0.749 Sm

NaLa3Bi SCAN PBEsol geometry; energy of formation from the pure elements = 0.0194 eV/atom
1.0
-1.767 5.879 -0.514
-1.888 -0.054 5.864
5.592 1.839 1.817
Na Bi La
1 1 3
Direct
0.500 0.500 0.500 Na
0.000 0.000 0.000 Bi
0.000 0.500 0.000 La
0.000 0.000 0.500 La
0.500 0.000 0.000 La

Li2CrBr SCAN PBEsol geometry; distance to the lowest polymorph of the same formula = 21.3 kJ/mol of formula units; formation energy from raw total energies = -0.31 eV per atom
1.0
3.317 0.000 0.000
0.000 3.446 0.000
-1.659 -1.723 7.295
Br Cr Li
1 1 2
Direct
0.458 0.458 0.916 Br
0.197 0.697 0.393 Cr
0.029 0.029 0.059 Li
0.816 0.316 0.632 Li

TaBe2Tc SCAN PBEsol geometry; distance to the lowest polymorph of the same formula = 121.5 kJ/mol of formula units; energy of formation from the pure elements = -0.1054 eV/atom
1.0
-2.215 -0.636 3.037
4.207 0.022 0.680
1.437 3.097 1.697
Be Tc Ta
2 1 1
Direct
0.250 0.500 0.250 Be
0.750 0.500 0.750 Be
0.000 0.000 0.000 Tc
0.500 0.000 0.500 Ta

Na3Cu2O4 SCAN PBEsol geometry; distance to the lowest polymorph of the same formula = 0.0 kJ/mol of formula units; formation energy from raw total energies = -1.25 eV per atom
1.0
5.649 -0.005 0.000
-2.530 7.659 0.000
0.000 0.000 10.999
Na Cu O
12 8 16
Direct
0.199 0.053 0.095 Na
0.273 0.382 0.209 Na
0.301 0.447 0.595 Na
0.699 0.553 0.405 Na
0.773 0.882 0.291 Na
0.727 0.618 0.791 Na
0.272 0.383 0.923 Na
0.801 0.947 0.905 Na
0.228 0.117 0.423 Na
0.227 0.118 0.709 Na
0.728 0.617 0.077 Na
0.772 0.883 0.577 Na
0.740 0.241 0.177 Cu
0.240 0.741 0.323 Cu
0.761 0.231 0.428 Cu
0.760 0.259 0.677 Cu
0.260 0.759 0.823 Cu
0.739 0.269 0.928 Cu
0.261 0.731 0.072 Cu
0.239 0.769 0.572 Cu
0.440 0.719 0.693 O
0.567 0.293 0.548 O
0.940 0.219 0.807 O
0.060 0.781 0.193 O
0.564 0.322 0.796 O
0.545 0.307 0.058 O
0.955 0.193 0.558 O
0.560 0.281 0.307 O
0.433 0.707 0.452 O
0.936 0.178 0.296 O
0.455 0.693 0.942 O
0.436 0.678 0.204 O
0.933 0.207 0.048 O
0.067 0.793 0.952 O
0.045 0.807 0.442 O
0.064 0.822 0.704 O

KMnBeBi2 SCAN PBEsol geometry; energy of formation from the pure elements = 0.5680 eV/atom
1.0
-4.745 1.770 -0.498
-0.516 -2.604 -4.342
-1.831 -4.146 2.704
Be K Mn Bi
1 1 1 2
Direct
0.000 0.000 0.000 Be
0.000 0.000 0.500 K
0.500 0.500 0.500 Mn
0.000 0.500 0.000 Bi
0.500 0.000 0.000 Bi

SbAu SCAN PBEsol geometry; formation energy from raw total energies = -0.02 eV per atom
1.0
6.826 0.000 0.000
0.000 9.070 0.000
0.000 0.000 9.100
Au Sb
12 12
Direct
0.750 0.854 0.757 Au
0.250 0.146 0.243 Au
0.750 0.146 0.257 Au
0.250 0.854 0.743 Au
0.750 0.509 0.498 Au
0.250 0.491 0.502 Au
0.750 0.491 0.998 Au
0.250 0.509 0.002 Au
0.000 0.900 0.250 Au
0.500 0.100 0.750 Au
0.000 0.100 0.750 Au
0.500 0.900 0.250 Au
0.750 0.805 0.465 Sb
0.250 0.195 0.535 Sb
0.750 0.195 0.965 Sb
0.250 0.805 0.035 Sb
0.750 0.785 0.043 Sb
0.250 0.215 0.957 Sb
0.750 0.215 0.543 Sb
0.250 0.785 0.457 Sb
0.000 0.411 0.250 Sb
0.500 0.589 0.750 Sb
0.000 0.589 0.750 Sb
0.500 0.411 0.250 Sb

ScNi6Ir SCAN PBEsol geometry; energy of formation from the pure elements = -0.1533 eV/atom
1.0
-5.299 -2.911 -1.584
4.912 -3.287 -2.034
0.198 -5.151 8.805
Ir Ni Sc
4 24 4
Direct
0.240 0.760 0.000 Ir
0.760 0.240 0.000 Ir
0.500 0.500 0.752 Ir
0.500 0.500 0.248 Ir
0.254 0.746 0.756 Ni
0.871 0.618 0.877 Ni
0.129 0.382 0.877 Ni
0.746 0.254 0.756 Ni
0.382 0.129 0.877 Ni
0.618 0.871 0.877 Ni
0.500 0.500 0.500 Ni
0.132 0.379 0.628 Ni
0.379 0.132 0.628 Ni
0.254 0.746 0.244 Ni
0.868 0.621 0.372 Ni
0.132 0.379 0.372 Ni
0.746 0.254 0.244 Ni
0.379 0.132 0.372 Ni
0.621 0.868 0.372 Ni
0.500 0.500 0.000 Ni
0.129 0.382 0.123 Ni
0.382 0.129 0.123 Ni
0.000 0.000 0.500 Ni
0.621 0.868 0.628 Ni
0.868 0.621 0.628 Ni
0.000 0.000 0.000 Ni
0.618 0.871 0.123 Ni
0.871 0.618 0.123 Ni
0.248 0.752 0.500 Sc
0.752 0.248 0.500 Sc
0.000 0.000 0.749 Sc
0.000 0.000 0.251 Sc

NaInPCl2 SCAN PBEsol geometry; formation energy from raw total energies = -0.56 eV per atom
1.0
-2.293 1.004 4.330
4.066 -2.110 2.642
2.357 4.732 0.152
P Cl Na In
1 2 1 1
Direct
0.500 0.000 0.000 P
0.000 0.000 0.500 Cl
0.000 0.500 0.000 Cl
0.500 0.500 0.500 Na
0.000 0.000 0.000 In

La2CoSb SCAN PBEsol geometry; distance to the lowest polymorph of the same formula = 0.0 kJ/mol of formula units; formation energy from raw total energies = -0.55 eV per atom
1.0
-1.370 -2.446 -2.894
4.534 0.064 -2.201
1.382 -4.005 2.731
Co La Sb
1 2 1
Direct
0.500 0.000 0.000 Co
0.000 0.000 0.500 La
0.000 0.500 0.000 La
0.500 0.500 0.500 Sb